Entry w
# TlI2BrO, relaxed, DFT PBE
# Magnetization = 0.00 μB per cell
data_TlI2BrO
_symmetry_space_group_name_H-M 'P 4/m m m'
_symmetry_Int_Tables_number 123
_symmetry_space_group_name_Hall '-P 4 2'
_cell_length_a 6.192
_cell_length_b 6.192
_cell_length_c 4.074
_cell_angle_alpha 90.00
_cell_angle_beta 90.00
_cell_angle_gamma 90.00
loop_
_atom_site_label
_atom_site_fract_x
_atom_site_fract_y
_atom_site_fract_z
_atom_site_occupancy
Tl1 0.000 0.000 0.000 1
I1 0.000 0.500 0.500 1
Br1 0.500 0.500 0.500 1
O1 0.500 0.500 0.000 1

Entry x
# TlI2BrO, relaxed, DFT PBE
# Magnetization = 1.79 μB per cell
data_TlI2BrO
_symmetry_space_group_name_H-M 'P 4/m m m'
_symmetry_Int_Tables_number 123
_symmetry_space_group_name_Hall '-P 4 2'
_cell_length_a 6.355
_cell_length_b 6.355
_cell_length_c 4.048
_cell_angle_alpha 90.00
_cell_angle_beta 90.00
_cell_angle_gamma 90.00
loop_
_atom_site_label
_atom_site_fract_x
_atom_site_fract_y
_atom_site_fract_z
_atom_site_occupancy
Tl1 0.000 0.000 0.000 1
I1 0.000 0.500 0.000 1
Br1 0.500 0.500 0.500 1
O1 0.000 0.000 0.500 1

Most stable structure - entry w; separation to the second - 4.8 kJ/mol of atoms.